[1]
Below is crystalline RbLiCd2Ru at its relaxed geometry, with properties calculated at the PBE-GGA level.

a = 6.140 Å, b = 6.140 Å, c = 5.004 Å
α = 90.00°, β = 90.00°, γ = 90.00°
Fractional coordinates of all 5 atoms:
Rb  0.000  0.000  0.000
Li  0.500  0.500  0.500
Cd  0.000  0.500  0.000
Cd  0.500  0.000  0.000
Ru  0.000  0.000  0.500

Raw total energy = -1.30 eV per atom
Density of states at the Fermi level = 0.94 states/eV/atom

[2]
Below is crystalline KAg2Rh at its relaxed geometry, with properties calculated at the PBE-GGA level.

a = 2.827 Å, b = 4.711 Å, c = 6.880 Å
α = 90.00°, β = 97.80°, γ = 90.00°
Fractional coordinates of all 4 atoms:
K  0.000  0.000  0.000
Ag  0.331  0.000  0.451
Ag  0.402  0.500  0.703
Rh  0.787  0.500  0.355

Raw total energy = -3.17 eV per atom
E above lowest polymorph = 41 meV/atom
Density of states at the Fermi level = 0.78 states/eV/atom

no.,energy relative to the elements (eV per atom),total magnetization (μB/f.u.)
1,1.50,0.739
2,0.37,0.476